## HgSb2S2 (PBE-GGA)

Data for a geometry-optimized HgSb2S2 structure.

Results
Space-group type: I4/mmm (139)
Energy above the lowest structure with this stoichiometry: 0.0141 eV per atom

a b c (Å): 5.4009 5.4009 9.3191
angles (deg): 90.00 90.00 90.00
With the nearest neighbours (Å) after each atom.
Sites, in units of the cell vectors:
Hg 0.0000 0.0000 0.0000  2 Sb 2.94
Hg 0.5000 0.5000 0.5000  2 Sb 2.94
Sb 0.0000 0.0000 0.3151  4 S 2.77, 1 Hg 2.94
Sb 0.0000 0.0000 0.6849  4 S 2.77, 1 Hg 2.94
Sb 0.5000 0.5000 0.1849  4 S 2.77, 1 Hg 2.94
Sb 0.5000 0.5000 0.8151  4 S 2.77, 1 Hg 2.94
S 0.0000 0.5000 0.2500  4 Sb 2.77
S 0.0000 0.5000 0.7500  4 Sb 2.77
S 0.5000 0.0000 0.2500  4 Sb 2.77
S 0.5000 0.0000 0.7500  4 Sb 2.77

***

## Hg2SbS (PBE-GGA)

Data for a geometry-optimized Hg2SbS structure.

Results
Space-group type: I-42d (122)

a b c (Å): 6.3683 6.3683 12.2303
angles (deg): 90.00 90.00 90.00
With the nearest neighbours (Å) after each atom.
Sites, in units of the cell vectors:
Hg 0.2261 0.2500 0.1250  2 S 2.64, 2 Sb 2.81
Hg 0.2500 0.7261 0.3750  2 S 2.64, 2 Sb 2.81
Hg 0.2500 0.7739 0.8750  2 S 2.64, 2 Sb 2.81
Hg 0.2739 0.2500 0.6250  2 S 2.64, 2 Sb 2.81
Hg 0.7261 0.7500 0.6250  2 S 2.64, 2 Sb 2.81
Hg 0.7500 0.2261 0.8750  2 S 2.64, 2 Sb 2.81
Hg 0.7500 0.2739 0.3750  2 S 2.64, 2 Sb 2.81
Hg 0.7739 0.7500 0.1250  2 S 2.64, 2 Sb 2.81
Sb 0.0000 0.0000 0.5000  4 Hg 2.81
Sb 0.0000 0.5000 0.7500  4 Hg 2.81
Sb 0.5000 0.0000 0.2500  4 Hg 2.81
Sb 0.5000 0.5000 0.0000  4 Hg 2.81
S 0.0000 0.0000 0.0000  4 Hg 2.64
S 0.0000 0.5000 0.2500  4 Hg 2.64
S 0.5000 0.0000 0.7500  4 Hg 2.64
S 0.5000 0.5000 0.5000  4 Hg 2.64

***

## HgSb2S5 (PBE-GGA)

Data for a geometry-optimized HgSb2S5 structure.

Results
Space-group type: Cmcm (63)

a b c (Å): 8.9489 8.9489 11.3548
angles (deg): 90.00 90.00 143.96
With the nearest neighbours (Å) after each atom.
Sites, in units of the cell vectors:
Hg 0.0397 0.9603 0.7500  2 S 2.41
Hg 0.9603 0.0397 0.2500  2 S 2.41
Sb 0.2223 0.7777 0.1037  2 S 2.41-2.50
Sb 0.2223 0.7777 0.3963  2 S 2.41-2.50
Sb 0.7777 0.2223 0.6037  2 S 2.41-2.50
Sb 0.7777 0.2223 0.8963  2 S 2.41-2.50
S 0.0557 0.9443 0.5394  1 S 2.10
S 0.0557 0.9443 0.9606  1 S 2.10
S 0.2934 0.7066 0.5801  1 Sb 2.41
S 0.2934 0.7066 0.9199  1 Sb 2.41
S 0.3321 0.6679 0.2500  2 Sb 2.50
S 0.6679 0.3321 0.7500  2 Sb 2.50
S 0.7066 0.2934 0.0801  1 Sb 2.41
S 0.7066 0.2934 0.4199  1 Sb 2.41
S 0.9443 0.0557 0.0394  1 S 2.10
S 0.9443 0.0557 0.4606  1 S 2.10

***

## HgSb2S2 (PBE-GGA)

Data for a geometry-optimized HgSb2S2 structure.

Results
Space-group type: P4/mbm (127)
Energy above the lowest structure with this stoichiometry: 0.0000 eV per atom

a b c (Å): 8.6030 8.6030 3.7047
angles (deg): 90.00 90.00 90.00
With the nearest neighbours (Å) after each atom.
Sites, in units of the cell vectors:
Hg 0.0000 0.0000 0.0000  4 Sb 3.07
Hg 0.5000 0.5000 0.0000  4 Sb 3.07
Sb 0.2183 0.2817 0.0000  2 S 2.52
Sb 0.2817 0.7817 0.0000  2 S 2.52
Sb 0.7183 0.2183 0.0000  2 S 2.52
Sb 0.7817 0.7183 0.0000  2 S 2.52
S 0.1412 0.6412 0.5000  2 Sb 2.52
S 0.3588 0.1412 0.5000  2 Sb 2.52
S 0.6412 0.8588 0.5000  2 Sb 2.52
S 0.8588 0.3588 0.5000  2 Sb 2.52

***

## HgSbS2 (PBE-GGA)

Data for a geometry-optimized HgSbS2 structure.

Results
Space-group type: R-3m (166)
Energy above the lowest structure with this stoichiometry: 0.2551 eV per atom

a b c (Å): 3.8832 3.8832 24.2141
angles (deg): 90.00 90.00 120.00
With the nearest neighbours (Å) after each atom.
Sites, in units of the cell vectors:
Hg 0.0000 0.0000 0.0000  6 S 2.70
Hg 0.3333 0.6667 0.6667  6 S 2.70
Hg 0.6667 0.3333 0.3333  6 S 2.70
Sb 0.0000 0.0000 0.5000  2 S 2.54
Sb 0.3333 0.6667 0.1667  2 S 2.54
Sb 0.6667 0.3333 0.8333  2 S 2.54
S 0.0000 0.0000 0.3953  1 Sb 2.54, 3 Hg 2.70
S 0.0000 0.0000 0.6047  1 Sb 2.54, 3 Hg 2.70
S 0.3333 0.6667 0.0620  1 Sb 2.54, 3 Hg 2.70
S 0.3333 0.6667 0.2714  1 Sb 2.54, 3 Hg 2.70
S 0.6667 0.3333 0.7286  1 Sb 2.54, 3 Hg 2.70
S 0.6667 0.3333 0.9380  1 Sb 2.54, 3 Hg 2.70

***

## HgSbS2 (PBE-GGA)

Data for a geometry-optimized HgSbS2 structure.

Results
Space-group type: R-3m (166)
Energy above the lowest structure with this stoichiometry: 0.0036 eV per atom

a b c (Å): 3.7184 3.7184 31.9394
angles (deg): 90.00 90.00 120.00
With the nearest neighbours (Å) after each atom.
Sites, in units of the cell vectors:
Hg 0.0000 0.0000 0.0000  6 Hg 3.72, 2 S 3.76
Hg 0.3333 0.6667 0.6667  6 Hg 3.72, 2 S 3.76
Hg 0.6667 0.3333 0.3333  6 Hg 3.72, 2 S 3.76
Sb 0.0000 0.0000 0.5000  6 S 2.65
Sb 0.3333 0.6667 0.1667  6 S 2.65
Sb 0.6667 0.3333 0.8333  6 S 2.65
S 0.0000 0.0000 0.1178  3 Sb 2.65
S 0.0000 0.0000 0.8822  3 Sb 2.65
S 0.3333 0.6667 0.5488  3 Sb 2.65
S 0.3333 0.6667 0.7845  3 Sb 2.65
S 0.6667 0.3333 0.2155  3 Sb 2.65
S 0.6667 0.3333 0.4512  3 Sb 2.65

***

## HgSbS3 (PBE-GGA)

Data for a geometry-optimized HgSbS3 structure.

Results
Space-group type: C2/m (12)
Energy above the lowest structure with this stoichiometry: 0.0000 eV per atom

a b c (Å): 9.3517 9.3517 6.6460
angles (deg): 90.71 90.71 28.39
With the nearest neighbours (Å) after each atom.
Sites, in units of the cell vectors:
Hg 0.1776 0.1776 0.1153  4 S 2.59-2.79
Hg 0.8224 0.8224 0.8847  4 S 2.59-2.79
Sb 0.4040 0.4040 0.4418  4 S 2.41-2.57
Sb 0.5960 0.5960 0.5582  4 S 2.41-2.57
S 0.1564 0.1564 0.5057  2 Sb 2.57, 1 Hg 2.63
S 0.3304 0.3304 0.0659  3 Hg 2.59-2.79, 1 Sb 2.82
S 0.4861 0.4861 0.7570  2 Sb 2.41-2.55
S 0.5139 0.5139 0.2430  2 Sb 2.41-2.55
S 0.6696 0.6696 0.9341  3 Hg 2.59-2.79, 1 Sb 2.82
S 0.8436 0.8436 0.4943  2 Sb 2.57, 1 Hg 2.63

***

## HgSbS3 (PBE-GGA)

Data for a geometry-optimized HgSbS3 structure.

Results
Space-group type: Pm-3m (221)
Energy above the lowest structure with this stoichiometry: 0.4534 eV per atom

a b c (Å): 5.0272 5.0272 5.0272
angles (deg): 90.00 90.00 90.00
With the nearest neighbours (Å) after each atom.
Sites, in units of the cell vectors:
Hg 0.0000 0.0000 0.0000  12 S 3.55
Sb 0.5000 0.5000 0.5000  6 S 2.51
S 0.0000 0.5000 0.5000  2 Sb 2.51
S 0.5000 0.0000 0.5000  2 Sb 2.51
S 0.5000 0.5000 0.0000  2 Sb 2.51

***

## Hg3Sb5S12 (PBE-GGA)

Data for a geometry-optimized Hg3Sb5S12 structure.

Results
Space-group type: Ia-3d (230)

a b c (Å): 14.0224 14.0224 14.0224
angles (deg): 109.47 109.47 109.47
With the nearest neighbours (Å) after each atom.
Sites, in units of the cell vectors:
Hg 0.1250 0.2500 0.3750  8 S 3.06-3.16
Hg 0.1250 0.3750 0.7500  8 S 3.06-3.16
Hg 0.2500 0.3750 0.1250  8 S 3.06-3.16
Hg 0.2500 0.8750 0.6250  8 S 3.06-3.16
Hg 0.3750 0.1250 0.2500  8 S 3.06-3.16
Hg 0.3750 0.7500 0.1250  8 S 3.06-3.16
Hg 0.6250 0.2500 0.8750  8 S 3.06-3.16
Hg 0.6250 0.8750 0.7500  8 S 3.06-3.16
Hg 0.7500 0.1250 0.3750  8 S 3.06-3.16
Hg 0.7500 0.6250 0.8750  8 S 3.06-3.16
Hg 0.8750 0.6250 0.2500  8 S 3.06-3.16
Hg 0.8750 0.7500 0.6250  8 S 3.06-3.16
Sb 0.0000 0.0000 0.0000  6 S 2.71
Sb 0.0000 0.0000 0.5000  6 S 2.71
Sb 0.0000 0.5000 0.0000  6 S 2.71
Sb 0.0000 0.5000 0.5000  6 S 2.71
Sb 0.1250 0.7500 0.8750  4 S 2.45
Sb 0.1250 0.8750 0.2500  4 S 2.45
Sb 0.2500 0.1250 0.8750  4 S 2.45
Sb 0.2500 0.6250 0.3750  4 S 2.45
Sb 0.3750 0.2500 0.6250  4 S 2.45
Sb 0.3750 0.6250 0.7500  4 S 2.45
Sb 0.5000 0.0000 0.0000  6 S 2.71
Sb 0.5000 0.0000 0.5000  6 S 2.71
Sb 0.5000 0.5000 0.0000  6 S 2.71
Sb 0.5000 0.5000 0.5000  6 S 2.71
Sb 0.6250 0.3750 0.2500  4 S 2.45
Sb 0.6250 0.7500 0.3750  4 S 2.45
Sb 0.7500 0.3750 0.6250  4 S 2.45
Sb 0.7500 0.8750 0.1250  4 S 2.45
Sb 0.8750 0.1250 0.7500  4 S 2.45
Sb 0.8750 0.2500 0.1250  4 S 2.45
S 0.0351 0.2168 0.1211  2 Sb 2.45-2.71
S 0.0351 0.3183 0.9140  2 Sb 2.45-2.71
S 0.0860 0.6211 0.4043  2 Sb 2.45-2.71
S 0.0860 0.9649 0.6817  2 Sb 2.45-2.71
S 0.0957 0.7168 0.6817  2 Sb 2.45-2.71
S 0.0957 0.8789 0.4140  2 Sb 2.45-2.71
S 0.1211 0.0351 0.2168  2 Sb 2.45-2.71
S 0.1211 0.5860 0.9043  2 Sb 2.45-2.71
S 0.1817 0.2168 0.5957  2 Sb 2.45-2.71
S 0.1817 0.4649 0.5860  2 Sb 2.45-2.71
S 0.2168 0.1211 0.0351  2 Sb 2.45-2.71
S 0.2168 0.5957 0.1817  2 Sb 2.45-2.71
S 0.2832 0.3183 0.9043  2 Sb 2.45-2.71
S 0.2832 0.4649 0.3789  2 Sb 2.45-2.71
S 0.3183 0.9043 0.2832  2 Sb 2.45-2.71
S 0.3183 0.9140 0.0351  2 Sb 2.45-2.71
S 0.3789 0.2832 0.4649  2 Sb 2.45-2.71
S 0.3789 0.5957 0.9140  2 Sb 2.45-2.71
S 0.4043 0.0860 0.6211  2 Sb 2.45-2.71
S 0.4043 0.8183 0.7832  2 Sb 2.45-2.71
S 0.4140 0.0957 0.8789  2 Sb 2.45-2.71
S 0.4140 0.8183 0.5351  2 Sb 2.45-2.71
S 0.4649 0.3789 0.2832  2 Sb 2.45-2.71
S 0.4649 0.5860 0.1817  2 Sb 2.45-2.71
S 0.5351 0.4140 0.8183  2 Sb 2.45-2.71
S 0.5351 0.6211 0.7168  2 Sb 2.45-2.71
S 0.5860 0.1817 0.4649  2 Sb 2.45-2.71
S 0.5860 0.9043 0.1211  2 Sb 2.45-2.71
S 0.5957 0.1817 0.2168  2 Sb 2.45-2.71
S 0.5957 0.9140 0.3789  2 Sb 2.45-2.71
S 0.6211 0.4043 0.0860  2 Sb 2.45-2.71
S 0.6211 0.7168 0.5351  2 Sb 2.45-2.71
S 0.6817 0.0860 0.9649  2 Sb 2.45-2.71
S 0.6817 0.0957 0.7168  2 Sb 2.45-2.71
S 0.7168 0.5351 0.6211  2 Sb 2.45-2.71
S 0.7168 0.6817 0.0957  2 Sb 2.45-2.71
S 0.7832 0.4043 0.8183  2 Sb 2.45-2.71
S 0.7832 0.8789 0.9649  2 Sb 2.45-2.71
S 0.8183 0.5351 0.4140  2 Sb 2.45-2.71
S 0.8183 0.7832 0.4043  2 Sb 2.45-2.71
S 0.8789 0.4140 0.0957  2 Sb 2.45-2.71
S 0.8789 0.9649 0.7832  2 Sb 2.45-2.71
S 0.9043 0.1211 0.5860  2 Sb 2.45-2.71
S 0.9043 0.2832 0.3183  2 Sb 2.45-2.71
S 0.9140 0.0351 0.3183  2 Sb 2.45-2.71
S 0.9140 0.3789 0.5957  2 Sb 2.45-2.71
S 0.9649 0.6817 0.0860  2 Sb 2.45-2.71
S 0.9649 0.7832 0.8789  2 Sb 2.45-2.71

***

## Hg3SbS4 (PBE-GGA)

Data for a geometry-optimized Hg3SbS4 structure.

Results
Space-group type: Pmn2_1 (31)

a b c (Å): 11.5442 5.6183 5.6296
angles (deg): 90.00 90.00 90.00
With the nearest neighbours (Å) after each atom.
Sites, in units of the cell vectors:
Hg 0.0000 0.2484 0.0000  6 S 2.76-3.00
Hg 0.2502 0.2450 0.5044  6 S 2.77-2.90
Hg 0.2498 0.7550 0.0044  6 S 2.77-2.90
Hg 0.5000 0.7516 0.5000  6 S 2.76-3.00
Hg 0.7498 0.2450 0.5044  6 S 2.77-2.90
Hg 0.7502 0.7550 0.0044  6 S 2.77-2.90
Sb 0.0000 0.7422 0.5027  4 S 2.52-2.77
Sb 0.5000 0.2578 0.0027  4 S 2.52-2.77
S 0.0000 0.2938 0.4877  1 Sb 2.52, 1 Hg 2.76
S 0.0000 0.7590 0.9501  1 Sb 2.52, 1 Hg 2.76
S 0.2403 0.7497 0.4956  5 Hg 2.77-3.00, 1 Sb 2.77
S 0.2597 0.2503 0.9956  5 Hg 2.77-3.00, 1 Sb 2.77
S 0.5000 0.2410 0.4501  1 Sb 2.52, 1 Hg 2.76
S 0.5000 0.7062 0.9877  1 Sb 2.52, 1 Hg 2.76
S 0.7403 0.2503 0.9956  5 Hg 2.77-3.00, 1 Sb 2.77
S 0.7597 0.7497 0.4956  5 Hg 2.77-3.00, 1 Sb 2.77

***

## HgSbS2 (PBE-GGA)

Data for a geometry-optimized HgSbS2 structure.

Results
Space-group type: I-42d (122)
Energy above the lowest structure with this stoichiometry: 0.1444 eV per atom

a b c (Å): 5.5841 5.5841 14.7699
angles (deg): 90.00 90.00 90.00
With the nearest neighbours (Å) after each atom.
Sites, in units of the cell vectors:
Hg 0.0000 0.0000 0.0000  4 S 2.72
Hg 0.0000 0.5000 0.2500  4 S 2.72
Hg 0.5000 0.0000 0.7500  4 S 2.72
Hg 0.5000 0.5000 0.5000  4 S 2.72
Sb 0.0000 0.0000 0.5000  4 S 2.68
Sb 0.0000 0.5000 0.7500  4 S 2.68
Sb 0.5000 0.0000 0.2500  4 S 2.68
Sb 0.5000 0.5000 0.0000  4 S 2.68
S 0.2434 0.2500 0.6250  2 Sb 2.68, 2 Hg 2.72
S 0.2500 0.7434 0.8750  2 Sb 2.68, 2 Hg 2.72
S 0.2500 0.7566 0.3750  2 Sb 2.68, 2 Hg 2.72
S 0.2566 0.2500 0.1250  2 Sb 2.68, 2 Hg 2.72
S 0.7434 0.7500 0.1250  2 Sb 2.68, 2 Hg 2.72
S 0.7500 0.2434 0.3750  2 Sb 2.68, 2 Hg 2.72
S 0.7500 0.2566 0.8750  2 Sb 2.68, 2 Hg 2.72
S 0.7566 0.7500 0.6250  2 Sb 2.68, 2 Hg 2.72

***

## Hg3SbS (PBE-GGA)

Data for a geometry-optimized Hg3SbS structure.

Results
Space-group type: Pm-3m (221)
Energy above the lowest structure with this stoichiometry: 0.0000 eV per atom

a b c (Å): 5.2136 5.2136 5.2136
angles (deg): 90.00 90.00 90.00
With the nearest neighbours (Å) after each atom.
Sites, in units of the cell vectors:
Hg 0.0000 0.0000 0.5000  2 S 2.61
Hg 0.0000 0.5000 0.0000  2 S 2.61
Hg 0.5000 0.0000 0.0000  2 S 2.61
Sb 0.5000 0.5000 0.5000  12 Hg 3.69
S 0.0000 0.0000 0.0000  6 Hg 2.61

***

For reference, E_form (uncorrected) by record: -10; 90; -30; -24; 203; -48; -19; 435; 96; -51; 92; 437 meV/atom.